# 1
CoSbAs2: relaxed, PBE.

Calculated values
Raw formation energy, eV per atom: 0.515

abc: 4.712 4.712 3.531
angles: 90.00 90.00 106.79
Fractional positions:
1 Co 0.000 0.000 0.000
2 Sb 0.500 0.500 0.000
3 As 0.000 0.500 0.500
4 As 0.500 0.000 0.500

=====

# 2
Pm2Y3ScS6: relaxed, PBE.

Calculated values
Raw formation energy, eV per atom: -1.970

abc: 8.756 8.756 7.890
angles: 102.90 102.90 25.84
Fractional positions:
1 Pm 0.167 0.167 0.334
2 Pm 0.833 0.833 0.666
3 Y 0.170 0.170 0.834
4 Y 0.500 0.500 0.500
5 Y 0.830 0.830 0.166
6 Sc 0.500 0.500 0.000
7 S 0.004 0.004 0.763
8 S 0.336 0.336 0.410
9 S 0.339 0.339 0.927
10 S 0.661 0.661 0.073
11 S 0.664 0.664 0.590
12 S 0.996 0.996 0.237

=====

# 3
PaTl2Cl7: relaxed, PBE.

Calculated values
Raw formation energy, eV per atom: -1.524

abc: 9.704 9.704 12.064
angles: 125.94 125.94 51.73
Fractional positions:
1 Pa 0.111 0.889 0.750
2 Pa 0.889 0.111 0.250
3 Tl 0.253 0.361 0.203
4 Tl 0.361 0.253 0.703
5 Tl 0.639 0.747 0.297
6 Tl 0.747 0.639 0.797
7 Cl 0.012 0.662 0.712
8 Cl 0.030 0.733 0.114
9 Cl 0.073 0.752 0.478
10 Cl 0.248 0.927 0.022
11 Cl 0.267 0.970 0.386
12 Cl 0.338 0.988 0.788
13 Cl 0.426 0.574 0.750
14 Cl 0.574 0.426 0.250
15 Cl 0.662 0.012 0.212
16 Cl 0.733 0.030 0.614
17 Cl 0.752 0.073 0.978
18 Cl 0.927 0.248 0.522
19 Cl 0.970 0.267 0.886
20 Cl 0.988 0.338 0.288

=====

# 4
Ac3Ga2Pd6: relaxed, PBE.

Calculated values
Energy of formation, eV/atom: -0.783

abc: 8.550 8.550 8.550
angles: 109.47 109.47 109.47
Fractional positions:
1 Ac 0.000 0.293 0.293
2 Ac 0.000 0.707 0.707
3 Ac 0.293 0.000 0.293
4 Ac 0.293 0.293 0.000
5 Ac 0.707 0.000 0.707
6 Ac 0.707 0.707 0.000
7 Ga 0.000 0.000 0.500
8 Ga 0.000 0.500 0.000
9 Ga 0.500 0.000 0.000
10 Ga 0.500 0.500 0.500
11 Pd 0.000 0.329 0.671
12 Pd 0.000 0.671 0.329
13 Pd 0.329 0.000 0.671
14 Pd 0.329 0.329 0.657
15 Pd 0.329 0.657 0.329
16 Pd 0.329 0.671 0.000
17 Pd 0.343 0.671 0.671
18 Pd 0.657 0.329 0.329
19 Pd 0.671 0.000 0.329
20 Pd 0.671 0.329 0.000
21 Pd 0.671 0.343 0.671
22 Pd 0.671 0.671 0.343

=====

# 5
La2Ga2BOs2: relaxed, PBE.

Calculated values
Energy of formation, eV/atom: -0.446

abc: 5.962 5.962 7.459
angles: 124.77 124.77 41.57
Fractional positions:
1 La 0.071 0.071 0.302
2 La 0.929 0.929 0.698
3 Ga 0.353 0.353 0.310
4 Ga 0.647 0.647 0.690
5 B 0.500 0.500 0.000
6 Os 0.293 0.293 0.922
7 Os 0.707 0.707 0.078

=====

# 6
KBaCr2: relaxed, PBE.

Calculated values
Energy of formation, eV/atom: 1.102
Relative energy among the computed polymorphs, meV per atom: 400

abc: 5.784 5.784 5.784
angles: 60.00 60.00 60.00
Fractional positions:
1 K 0.000 0.000 0.000
2 Ba 0.750 0.750 0.750
3 Cr 0.250 0.250 0.250
4 Cr 0.500 0.500 0.500

=====

# 7
Ca2CdCl6: relaxed, PBE.

Calculated values
Relative energy among the computed polymorphs, meV per atom: 0
Raw formation energy, eV per atom: -1.947

abc: 7.263 7.263 10.109
angles: 106.13 106.13 32.52
Fractional positions:
1 Ca 0.167 0.167 0.328
2 Ca 0.833 0.833 0.672
3 Cd 0.500 0.500 0.000
4 Cl 0.134 0.134 0.044
5 Cl 0.195 0.195 0.611
6 Cl 0.473 0.473 0.728
7 Cl 0.527 0.527 0.272
8 Cl 0.805 0.805 0.389
9 Cl 0.866 0.866 0.956

=====

# 8
Ac2Nd2Tl5: relaxed, PBE.

Calculated values
Energy of formation, eV/atom: -0.275

abc: 9.698 9.698 8.444
angles: 90.00 90.00 51.19
Fractional positions:
1 Ac 0.201 0.201 0.000
2 Ac 0.299 0.299 0.500
3 Ac 0.701 0.701 0.500
4 Ac 0.799 0.799 0.000
5 Nd 0.159 0.841 0.661
6 Nd 0.341 0.659 0.161
7 Nd 0.659 0.341 0.839
8 Nd 0.841 0.159 0.339
9 Tl 0.000 0.000 0.000
10 Tl 0.015 0.734 0.361
11 Tl 0.234 0.515 0.861
12 Tl 0.266 0.985 0.361
13 Tl 0.485 0.766 0.861
14 Tl 0.500 0.500 0.500
15 Tl 0.515 0.234 0.139
16 Tl 0.734 0.015 0.639
17 Tl 0.766 0.485 0.139
18 Tl 0.985 0.266 0.639

=====

Repeat the first record exactly.
CoSbAs2: relaxed, PBE.

Calculated values
Raw formation energy, eV per atom: 0.515

abc: 4.712 4.712 3.531
angles: 90.00 90.00 106.79
Fractional positions:
1 Co 0.000 0.000 0.000
2 Sb 0.500 0.500 0.000
3 As 0.000 0.500 0.500
4 As 0.500 0.000 0.500